14
Lattice="7.879 0.000 0.000 3.939 6.823 0.000 3.939 2.274 6.437" Properties=species:S:1:pos:R:3 comment="ErTm4MgS8 (PBE, optimized geometry)" total_magnetization_mub_per_fu=0.0 crystal_system=trigonal formation_energy_uncorrected_ev_per_atom=-1.918 vol_a3_per_cell=346 e_tot_ev_per_atom=-5.99 spacegroup="R3m (160)" pbc="T T T"
Er 3.939 2.274 6.385
Tm 7.879 4.549 0.804
Tm 3.939 4.500 3.236
Tm 5.867 1.161 3.236
Tm 2.012 1.161 3.236
Mg 7.879 4.549 5.632
S 7.879 6.902 4.790
S 9.917 3.372 4.790
S 5.841 3.372 4.790
S 3.939 2.274 1.698
S 7.879 2.128 1.670
S 5.783 5.759 1.670
S 9.975 5.759 1.670
S 11.818 6.823 4.666